Computed, not measured: Zr2Zn2H after structural relaxation at the GGA-PBE level of DFT.

Results
Space group   P4/mbm (127)
Density   6.14 g/cm³
Polymorph energy (0 for the lowest one)   0.0 meV per atom

a b c (Å): 5.8748 5.8748 4.9269
angles (deg): 90.00 90.00 90.00
Last column: nearest neighbours and their distance in Å.
Element x y z (fractional)
Zr: 0.1657 0.3343 0.0000  2 H 2.19
Zr: 0.3343 0.8343 0.0000  2 H 2.19
Zr: 0.6657 0.1657 0.0000  2 H 2.19
Zr: 0.8343 0.6657 0.0000  2 H 2.19
Zn: 0.1523 0.6523 0.5000  1 Zn 2.53
Zn: 0.3477 0.1523 0.5000  1 Zn 2.53
Zn: 0.6523 0.8477 0.5000  1 Zn 2.53
Zn: 0.8477 0.3477 0.5000  1 Zn 2.53
H: 0.0000 0.0000 0.0000  4 Zr 2.19
H: 0.5000 0.5000 0.0000  4 Zr 2.19